[1]
La2Th3Tc2 after structural relaxation, computed with PBE.

Lattice parameters (Å, degrees): 4.4183 6.6985 8.2985 97.38 105.44 109.25
Fractional positions:
La 0.1788 0.2940 0.0691
La 0.8212 0.7060 0.9309
Th 0.0000 0.5000 0.5000
Th 0.3922 0.0931 0.6920
Th 0.6078 0.9069 0.3080
Tc 0.3150 0.2378 0.3935
Tc 0.6850 0.7622 0.6065

Summary:
Calculated formation energy: -0.023 eV/atom
Spin magnetization: 0.00 μB per formula unit
Symmetry: P-1 (2)
Total DFT energy (no corrections): -53.01 eV per formula unit

[2]
LaThTc4 after structural relaxation, computed with PBE.

Lattice parameters (Å, degrees): 5.5066 5.5066 5.5066 60.00 60.00 60.00
Fractional positions:
La 0.0000 0.0000 0.0000
Th 0.7500 0.7500 0.7500
Tc 0.3750 0.3750 0.3750
Tc 0.3750 0.3750 0.8749
Tc 0.3750 0.8749 0.3750
Tc 0.8749 0.3750 0.3750

Summary:
Calculated formation energy: 0.025 eV/atom
Spin magnetization: 0.13 μB per formula unit
Symmetry: F-43m (216)
Total DFT energy (no corrections): -53.66 eV per formula unit

[3]
LaTh3Tc after structural relaxation, computed with PBE.

Lattice parameters (Å, degrees): 5.5167 5.5167 5.5167 90.00 90.00 90.00
Fractional positions:
La 0.0000 0.0000 0.0000
Th 0.0000 0.5000 0.5000
Th 0.5000 0.0000 0.5000
Th 0.5000 0.5000 0.0000
Tc 0.5000 0.5000 0.5000

Summary:
Calculated formation energy: 0.075 eV/atom
Spin magnetization: 0.00 μB per formula unit
Symmetry: Pm-3m (221)
Total DFT energy (no corrections): -37.18 eV per formula unit

[4]
LaTh4Tc2 after structural relaxation, computed with PBE.

Lattice parameters (Å, degrees): 7.5700 7.0042 8.5033 90.00 115.93 90.00
Fractional positions:
La 0.2433 0.2500 0.2115
La 0.7567 0.7500 0.7885
Th 0.0211 0.2500 0.7726
Th 0.3051 0.0013 0.6062
Th 0.3051 0.4987 0.6062
Th 0.3086 0.7500 0.9963
Th 0.6914 0.2500 0.0037
Th 0.6949 0.5013 0.3938
Th 0.6949 0.9987 0.3938
Th 0.9789 0.7500 0.2274
Tc 0.0401 0.7500 0.6476
Tc 0.3785 0.7500 0.3433
Tc 0.6215 0.2500 0.6567
Tc 0.9599 0.2500 0.3524

Summary:
Calculated formation energy: -0.067 eV/atom
Spin magnetization: 0.00 μB per formula unit
Symmetry: P2_1/m (11)
Total DFT energy (no corrections): -55.81 eV per formula unit